Run i
BaTcCl3 PBE optimized geometry; SG = Pm-3m (221); N(E_F) = 0.00 states/eV/f.u.
1.0
-1.332 -4.568 3.640
-1.319 -3.402 -4.751
5.690 -1.858 -0.249
Cl Tc Ba
3 1 1
direct
0.000 0.500 0.000
0.000 0.000 0.500
0.500 0.000 0.000
0.500 0.500 0.500
0.000 0.000 0.000

Run ii
BaTcCl3 PBE optimized geometry; SG = Pm-3m (221); N(E_F) = 3.95 states/eV/f.u.
1.0
-1.297 2.709 3.903
-4.751 -0.683 -1.104
-0.066 -4.056 2.793
Cl Ba Tc
3 1 1
direct
0.000 0.500 0.000
0.000 0.000 0.500
0.500 0.000 0.000
0.500 0.500 0.500
0.000 0.000 0.000

It is run ii that is most stable; the runner-up trails by 470 meV/atom.

Run i
BaTcCl PBE optimized geometry; SG = F-43m (216); N(E_F) = 3.17 states/eV/f.u.
1.0
-2.358 -1.289 -4.019
2.383 -0.357 -4.191
0.782 -4.344 -1.974
Ba Cl Tc
1 1 1
direct
0.000 0.000 0.000
0.500 0.500 0.500
0.750 0.750 0.750

Run ii
BaTcCl PBE optimized geometry; SG = I4mm (107); N(E_F) = 4.32 states/eV/f.u.
1.0
-3.145 5.227 3.517
-3.515 0.775 6.052
5.534 -2.492 -3.569
Ba Cl Tc
1 1 1
direct
0.988 0.988 0.000
0.339 0.339 0.000
0.673 0.673 0.000

It is run ii that is most stable; the runner-up trails by 303 meV/atom.

Run i
BaTcCl PBE optimized geometry; SG = Fmm2 (42); N(E_F) = 2.59 states/eV/f.u.
1.0
-6.357 -2.805 -0.930
-4.297 -5.390 0.490
-1.870 0.690 2.996
Ba Cl Tc
1 1 1
direct
0.991 0.991 0.009
0.331 0.331 0.669
0.677 0.677 0.323

Run ii
BaTcCl PBE optimized geometry; SG = F-43m (216); N(E_F) = 4.68 states/eV/f.u.
1.0
-1.936 -4.689 -0.911
2.962 -4.174 0.607
-0.875 -3.233 3.918
Ba Cl Tc
1 1 1
direct
0.500 0.500 0.500
0.750 0.750 0.750
0.000 0.000 0.000

Run iii
BaTcCl PBE optimized geometry; SG = P3m1 (156); N(E_F) = 1.85 states/eV/f.u.
1.0
4.289 0.000 0.000
-2.144 3.714 0.000
0.000 0.000 4.774
Ba Cl Tc
1 1 1
direct
0.000 0.000 0.999
0.667 0.333 0.501
0.333 0.667 0.499

It is run iii that is most stable; the runner-up trails by 123 meV/atom.

Run i
BaTeCl3 PBE optimized geometry; SG = Pm-3m (221); N(E_F) = 1.97 states/eV/f.u.
1.0
5.679 0.000 0.000
0.000 5.679 0.000
0.000 0.000 5.679
Te Ba Cl
1 1 3
direct
0.000 0.000 0.000
0.500 0.500 0.500
0.000 0.500 0.000
0.000 0.000 0.500
0.500 0.000 0.000

Run ii
BaTeCl3 PBE optimized geometry; SG = Pm-3m (221); N(E_F) = 0.00 states/eV/f.u.
1.0
-4.114 1.100 -4.262
4.138 -1.025 -4.258
-1.503 -5.835 -0.056
Te Ba Cl
1 1 3
direct
0.500 0.500 0.500
0.000 0.000 0.000
0.000 0.500 0.000
0.000 0.000 0.500
0.500 0.000 0.000

It is run ii that is most stable; the runner-up trails by 149 meV/atom.

Run i
BaTeCl2 PBE optimized geometry; SG = Immm (71); N(E_F) = 1.09 states/eV/f.u.
1.0
-3.593 -4.682 0.148
0.690 -2.144 -5.457
4.313 1.291 3.819
Te Ba Cl
1 1 2
direct
0.250 0.750 0.500
0.750 0.250 0.500
0.039 0.039 0.000
0.461 0.461 0.000

Run ii
BaTeCl2 PBE optimized geometry; SG = P4/mmm (123); N(E_F) = 2.54 states/eV/f.u.
1.0
-1.793 0.010 3.228
2.645 -2.112 1.476
5.951 9.741 3.274
Te Ba Cl
1 1 2
direct
0.500 0.500 0.250
0.500 0.500 0.750
0.000 0.000 0.895
0.000 0.000 0.605

Run iii
BaTeCl2 PBE optimized geometry; SG = I-42d (122); N(E_F) = 0.43 states/eV/f.u.
1.0
5.153 0.000 0.000
0.000 5.153 0.000
2.577 2.577 10.043
Te Ba Cl
2 2 4
direct
0.500 0.500 0.000
0.250 0.750 0.500
0.000 0.000 0.000
0.750 0.250 0.500
0.600 0.125 0.250
0.150 0.625 0.250
0.375 0.400 0.750
0.875 0.850 0.750

Run iv
BaTeCl2 PBE optimized geometry; SG = F-43m (216); N(E_F) = 3.25 states/eV/f.u.
1.0
-0.583 5.413 1.549
-4.218 3.116 -2.133
-4.327 1.547 3.305
Te Ba Cl
1 1 2
direct
0.750 0.750 0.750
0.500 0.500 0.500
0.000 0.000 0.000
0.250 0.250 0.250

It is run ii that is most stable; the runner-up trails by 67 meV/atom.

Run i
BaTeCl2 PBE optimized geometry; SG = C2/m (12); N(E_F) = 1.32 states/eV/f.u.
1.0
4.659 -0.248 -0.603
2.502 3.938 -0.603
0.199 0.103 10.340
Te Ba Cl
1 1 2
direct
0.750 0.750 0.750
0.250 0.250 0.250
0.894 0.894 0.108
0.606 0.606 0.392

Run ii
BaTeCl2 PBE optimized geometry; SG = Pm (6); N(E_F) = 0.02 states/eV/f.u.
1.0
5.599 0.000 0.000
0.000 4.899 -0.046
0.000 2.707 5.000
Te Ba Cl
1 1 2
direct
0.000 0.511 0.565
0.500 0.940 0.735
0.000 0.807 0.077
0.500 0.243 0.123

It is run ii that is most stable; the runner-up trails by 183 meV/atom.